No. 1
{"formula": "AlZnPd", "functional": "PBE-GGA", "state": "optimized geometry", "e_above_lowest_polymorph_kj_per_mol_atoms": 15.6, "lattice": [[-0.289, -3.160, -2.701], [-2.651, -3.130, 0.732], [-3.416, -0.429, -2.347]], "species": ["Zn", "Al", "Pd"], "fractional_positions": [[0.750, 0.750, 0.750], [0.000, 0.000, 0.000], [0.250, 0.250, 0.250]]}

=====

No. 2
{"formula": "Ga2PdI2Br6", "functional": "PBE-GGA", "state": "optimized geometry", "e_above_lowest_polymorph_kj_per_mol_atoms": 0.0, "lattice": [[-4.317, 1.645, -6.321], [0.845, -5.285, -5.715], [-5.538, -3.796, 3.760]], "species": ["Br", "Br", "Br", "Br", "Br", "Br", "Pd", "I", "I", "Ga", "Ga"], "fractional_positions": [[0.316, 0.915, 0.148], [0.384, 0.384, 0.291], [0.684, 0.085, 0.852], [0.085, 0.684, 0.852], [0.915, 0.316, 0.148], [0.616, 0.616, 0.709], [0.000, 0.000, 0.000], [0.171, 0.171, 0.639], [0.829, 0.829, 0.361], [0.788, 0.788, 0.673], [0.212, 0.212, 0.327]]}

=====

No. 3
{"formula": "HoAgAsO", "functional": "PBE-GGA", "state": "optimized geometry", "e_above_lowest_polymorph_kj_per_mol_atoms": 21.3, "lattice": [[5.501, 0.000, 0.000], [0.000, 5.957, 0.000], [0.000, 0.000, 4.579]], "species": ["As", "As", "Ag", "Ag", "O", "O", "Ho", "Ho"], "fractional_positions": [[0.000, 0.365, 0.427], [0.000, 0.635, 0.927], [0.000, 0.133, 0.928], [0.000, 0.867, 0.428], [0.500, 0.847, 0.448], [0.500, 0.153, 0.948], [0.500, 0.201, 0.451], [0.500, 0.799, 0.951]]}

=====

No. 4
{"formula": "PuUAg", "functional": "PBE-GGA", "state": "optimized geometry", "e_above_lowest_polymorph_kj_per_mol_atoms": 0.0, "formation_energy_ev_per_atom": 0.608, "lattice": [[0.000, 3.282, 3.282], [3.282, 0.000, 3.282], [3.282, 3.282, 0.000]], "species": ["U", "Pu", "Ag"], "fractional_positions": [[0.750, 0.750, 0.750], [0.000, 0.000, 0.000], [0.250, 0.250, 0.250]]}

=====

No. 5
{"formula": "DyMgGe", "functional": "PBE-GGA", "state": "optimized geometry", "e_tot_ev_per_atom": -3.575, "lattice": [[0.797, -1.076, 4.659], [-2.256, 2.503, 3.486], [-3.483, -2.109, 2.631]], "species": ["Dy", "Mg", "Ge"], "fractional_positions": [[0.000, 0.000, 0.000], [0.750, 0.750, 0.750], [0.250, 0.250, 0.250]]}

=====

No. 6
{"formula": "NaNi2Te3", "functional": "PBE-GGA", "state": "optimized geometry", "e_above_lowest_polymorph_kj_per_mol_atoms": 5.1, "lattice": [[-3.068, 5.211, -3.394], [0.839, -6.845, 0.727], [-8.036, -0.254, 6.875]], "species": ["Ni", "Ni", "Ni", "Ni", "Te", "Te", "Te", "Te", "Te", "Te", "Na", "Na"], "fractional_positions": [[0.941, 0.059, 0.250], [0.059, 0.941, 0.750], [0.500, 0.500, 0.000], [0.500, 0.500, 0.500], [0.870, 0.130, 0.031], [0.870, 0.130, 0.469], [0.130, 0.870, 0.969], [0.130, 0.870, 0.531], [0.559, 0.441, 0.250], [0.441, 0.559, 0.750], [0.738, 0.262, 0.750], [0.262, 0.738, 0.250]]}

=====

No. 7
{"formula": "Tm3TlTe2", "functional": "PBE-GGA", "state": "optimized geometry", "e_tot_ev_per_atom": -4.600, "lattice": [[-2.100, 3.059, 6.669], [2.100, -3.059, 6.669], [2.100, 3.059, -6.669]], "species": ["Tm", "Tm", "Tm", "Te", "Te", "Tl"], "fractional_positions": [[0.338, 0.838, 0.500], [0.000, 0.500, 0.500], [0.662, 0.162, 0.500], [0.170, 0.170, 0.000], [0.830, 0.830, 0.000], [0.500, 0.500, 0.000]]}

=====

No. 8
{"formula": "Tb2Er2Re3", "functional": "PBE-GGA", "state": "optimized geometry", "formation_energy_ev_per_atom": 0.400, "lattice": [[1.730, -13.737, 0.000], [1.730, 13.737, 0.000], [0.000, 0.000, 3.320]], "species": ["Re", "Re", "Re", "Er", "Er", "Tb", "Tb"], "fractional_positions": [[0.000, 0.000, 0.500], [0.131, 0.869, 0.500], [0.869, 0.131, 0.500], [0.690, 0.310, 0.000], [0.310, 0.690, 0.000], [0.435, 0.565, 0.000], [0.565, 0.435, 0.000]]}

=====

No. 9
{"formula": "ScNbFeBi", "functional": "PBE-GGA", "state": "optimized geometry", "e_tot_ev_per_atom": -6.837, "lattice": [[1.454, -2.388, 3.784], [-3.077, -2.508, 2.525], [0.153, -4.701, -0.100]], "species": ["Bi", "Fe", "Nb", "Sc"], "fractional_positions": [[0.000, 0.000, 0.000], [0.750, 0.750, 0.750], [0.500, 0.500, 0.500], [0.250, 0.250, 0.250]]}

=====

No. 10
{"formula": "CsZrAgSe3", "functional": "PBE-GGA", "state": "optimized geometry", "e_above_lowest_polymorph_kj_per_mol_atoms": 0.1, "lattice": [[-6.255, -0.017, -6.497], [1.992, -2.962, -1.909], [-2.122, -6.588, 8.006]], "species": ["Cs", "Cs", "Se", "Se", "Se", "Se", "Se", "Se", "Zr", "Zr", "Ag", "Ag"], "fractional_positions": [[0.245, 0.750, 0.719], [0.755, 0.250, 0.281], [0.617, 0.250, 0.866], [0.383, 0.750, 0.134], [0.243, 0.250, 0.426], [0.968, 0.750, 0.127], [0.757, 0.750, 0.574], [0.032, 0.250, 0.873], [0.190, 0.250, 0.159], [0.810, 0.750, 0.841], [0.575, 0.250, 0.606], [0.425, 0.750, 0.394]]}

=====

No. 11
{"formula": "NaLuBeSe3", "functional": "PBE-GGA", "state": "optimized geometry", "e_tot_ev_per_atom": -4.670, "lattice": [[1.944, -6.759, 0.000], [1.944, 6.759, 0.000], [0.000, 0.000, 10.651]], "species": ["Lu", "Lu", "Be", "Be", "Se", "Se", "Se", "Se", "Se", "Se", "Na", "Na"], "fractional_positions": [[0.000, 0.000, 0.500], [0.000, 0.000, 0.000], [0.535, 0.465, 0.250], [0.465, 0.535, 0.750], [0.930, 0.070, 0.250], [0.070, 0.930, 0.750], [0.368, 0.632, 0.919], [0.632, 0.368, 0.081], [0.632, 0.368, 0.419], [0.368, 0.632, 0.581], [0.751, 0.249, 0.750], [0.249, 0.751, 0.250]]}

=====

No. 12
{"formula": "Li3Fe2S4", "functional": "PBE-GGA", "state": "optimized geometry", "e_above_lowest_polymorph_kj_per_mol_atoms": 1.7, "lattice": [[6.371, 0.000, 0.000], [0.000, 10.578, 0.000], [0.000, 0.000, 9.094]], "species": ["S", "S", "S", "S", "S", "S", "S", "S", "S", "S", "S", "S", "S", "S", "S", "S", "Li", "Li", "Li", "Li", "Li", "Li", "Li", "Li", "Li", "Li", "Li", "Li", "Fe", "Fe", "Fe", "Fe", "Fe", "Fe", "Fe", "Fe"], "fractional_positions": [[0.743, 0.953, 0.079], [0.482, 0.250, 0.223], [0.760, 0.250, 0.882], [0.518, 0.750, 0.777], [0.257, 0.047, 0.921], [0.982, 0.250, 0.277], [0.743, 0.547, 0.079], [0.243, 0.953, 0.421], [0.243, 0.547, 0.421], [0.757, 0.453, 0.579], [0.018, 0.750, 0.723], [0.757, 0.047, 0.579], [0.257, 0.453, 0.921], [0.740, 0.750, 0.382], [0.240, 0.750, 0.118], [0.260, 0.250, 0.618], [0.617, 0.250, 0.481], [0.392, 0.470, 0.667], [0.892, 0.470, 0.833], [0.392, 0.030, 0.667], [0.608, 0.530, 0.333], [0.108, 0.530, 0.167], [0.892, 0.030, 0.833], [0.117, 0.250, 0.019], [0.108, 0.970, 0.167], [0.383, 0.750, 0.519], [0.608, 0.970, 0.333], [0.883, 0.750, 0.981], [0.055, 0.130, 0.474], [0.555, 0.130, 0.026], [0.945, 0.630, 0.526], [0.055, 0.370, 0.474], [0.945, 0.870, 0.526], [0.445, 0.630, 0.974], [0.445, 0.870, 0.974], [0.555, 0.370, 0.026]]}

=====

No. 13
{"formula": "GdZrHg", "functional": "PBE-GGA", "state": "optimized geometry", "e_above_lowest_polymorph_kj_per_mol_atoms": 0.0, "formation_energy_ev_per_atom": 0.185, "lattice": [[0.000, 3.503, 3.503], [3.503, 0.000, 3.503], [3.503, 3.503, 0.000]], "species": ["Gd", "Hg", "Zr"], "fractional_positions": [[0.250, 0.250, 0.250], [0.000, 0.000, 0.000], [0.750, 0.750, 0.750]]}